Record 1
VASP calculation (PBE) on an optimized crystal structure of Nd4GeO8.

## Properties
**Crystal system**: orthorhombic
**ρ**: 6.41 g cm⁻³
**Energy relative to the elements, uncorrected**: -3048.9 meV/atom
**Symmetry**: Pnma (62)

Cell lengths 18.944, 7.475, 5.691 Å; angles 90.00, 90.00, 90.00 degrees
Fractional positions:
Nd 0.019 0.250 0.022
Nd 0.099 0.006 0.526
Nd 0.099 0.494 0.526
Nd 0.216 0.250 0.026
Nd 0.284 0.750 0.526
Nd 0.401 0.506 0.026
Nd 0.401 0.994 0.026
Nd 0.481 0.750 0.522
Nd 0.519 0.250 0.478
Nd 0.599 0.006 0.974
Nd 0.599 0.494 0.974
Nd 0.716 0.250 0.474
Nd 0.784 0.750 0.974
Nd 0.901 0.506 0.474
Nd 0.901 0.994 0.474
Nd 0.981 0.750 0.978
Ge 0.181 0.750 0.987
Ge 0.319 0.250 0.487
Ge 0.681 0.750 0.513
Ge 0.819 0.250 0.013
O 0.008 0.522 0.260
O 0.008 0.978 0.260
O 0.102 0.750 0.812
O 0.120 0.250 0.271
O 0.122 0.250 0.771
O 0.165 0.750 0.298
O 0.227 0.561 0.873
O 0.227 0.939 0.873
O 0.273 0.061 0.373
O 0.273 0.439 0.373
O 0.335 0.250 0.798
O 0.378 0.750 0.271
O 0.380 0.750 0.771
O 0.398 0.250 0.312
O 0.492 0.022 0.760
O 0.492 0.478 0.760
O 0.508 0.522 0.240
O 0.508 0.978 0.240
O 0.602 0.750 0.688
O 0.620 0.250 0.229
O 0.622 0.250 0.729
O 0.665 0.750 0.202
O 0.727 0.561 0.627
O 0.727 0.939 0.627
O 0.773 0.061 0.127
O 0.773 0.439 0.127
O 0.835 0.250 0.702
O 0.878 0.750 0.229
O 0.880 0.750 0.729
O 0.898 0.250 0.188
O 0.992 0.022 0.740
O 0.992 0.478 0.740



Record 2
VASP calculation (PBE) on an optimized crystal structure of Li2CrIr.

## Properties
**Crystal system**: tetragonal
**ρ**: 7.42 g cm⁻³
**Energy of formation**: 0.106 eV/atom
**Symmetry**: P4mm (99)

Cell lengths 2.934, 2.934, 6.712 Å; angles 90.00, 90.00, 90.00 degrees
Fractional positions:
Li 0.000 0.000 0.000
Li 0.500 0.500 0.275
Cr 0.000 0.000 0.549
Ir 0.500 0.500 0.738



Record 3
VASP calculation (PBE) on an optimized crystal structure of BaLi2SnAu.

## Properties
**Crystal system**: tetragonal
**ρ**: 5.42 g cm⁻³
**Energy of formation**: -0.355 eV/atom
**Symmetry**: P4/mmm (123)

Cell lengths 5.162, 5.162, 5.367 Å; angles 90.00, 90.00, 90.00 degrees
Fractional positions:
Ba 0.000 0.000 0.000
Li 0.000 0.500 0.500
Li 0.500 0.000 0.500
Sn 0.500 0.500 0.000
Au 0.500 0.500 0.500



Record 4
VASP calculation (PBE) on an optimized crystal structure of Fe2CuPt2.

## Properties
**Crystal system**: monoclinic
**ρ**: 13.68 g cm⁻³
**Energy of formation**: -0.149 eV/atom
**Symmetry**: C2/m (12)

Cell lengths 4.577, 4.577, 5.995 Å; angles 128.97, 128.97, 49.18 degrees
Fractional positions:
Fe 0.203 0.203 0.113
Fe 0.797 0.797 0.887
Cu 0.000 0.000 0.500
Pt 0.412 0.412 0.707
Pt 0.588 0.588 0.293



Record 5
VASP calculation (PBE) on an optimized crystal structure of Na4Np3BeN8.

## Properties
**Crystal system**: monoclinic
**ρ**: 6.96 g cm⁻³
**Energy relative to the elements, uncorrected**: -591.4 meV/atom
**Symmetry**: C2/m (12)

Cell lengths 6.867, 6.867, 6.710 Å; angles 118.70, 118.70, 56.13 degrees
Fractional positions:
Na 0.000 0.000 0.000
Na 0.000 0.500 0.000
Na 0.500 0.000 0.000
Na 0.500 0.500 0.000
Np 0.000 0.000 0.500
Np 0.000 0.500 0.500
Np 0.500 0.000 0.500
Be 0.500 0.500 0.500
N 0.225 0.712 0.664
N 0.227 0.227 0.689
N 0.236 0.236 0.287
N 0.288 0.775 0.336
N 0.712 0.225 0.664
N 0.764 0.764 0.713
N 0.773 0.773 0.311
N 0.775 0.288 0.336



Record 6
VASP calculation (PBE) on an optimized crystal structure of MnC3.

## Properties
**Crystal system**: trigonal
**ρ**: 4.65 g cm⁻³
**Energy of formation**: 2.189 eV/atom
**Symmetry**: R-3m (166)

Cell lengths 3.495, 3.495, 3.495 Å; angles 109.75, 109.75, 109.75 degrees
Fractional positions:
Mn 0.000 0.000 0.000
C 0.000 0.500 0.500
C 0.500 0.000 0.500
C 0.500 0.500 0.000



Record 7
VASP calculation (PBE) on an optimized crystal structure of Dy2CdP.

## Properties
**Crystal system**: trigonal
**ρ**: 7.49 g cm⁻³
**Energy of formation**: -0.886 eV/atom
**Symmetry**: R-3m (166)

Cell lengths 8.239, 8.239, 8.239 Å; angles 27.31, 27.31, 27.31 degrees
Fractional positions:
Dy 0.234 0.234 0.234
Dy 0.766 0.766 0.766
Cd 0.000 0.000 0.000
P 0.500 0.500 0.500



Record 8
VASP calculation (PBE) on an optimized crystal structure of Hg2IrPt.

## Properties
**Crystal system**: monoclinic
**ρ**: 18.15 g cm⁻³
**Energy of formation**: 0.394 eV/atom
**Symmetry**: P2/m (10)

Cell lengths 2.934, 4.795, 5.129 Å; angles 90.00, 90.54, 90.00 degrees
Fractional positions:
Hg 0.245 0.000 0.248
Hg 0.755 0.000 0.752
Ir 0.500 0.500 0.000
Pt 0.000 0.500 0.500



Record 9
VASP calculation (PBE) on an optimized crystal structure of Pa2TlI6.

## Properties
**Crystal system**: trigonal
**ρ**: 5.65 g cm⁻³
**Energy relative to the elements, uncorrected**: -687.7 meV/atom
**Symmetry**: P-31m (162)

Cell lengths 7.352, 7.352, 8.958 Å; angles 90.00, 90.00, 120.00 degrees
Fractional positions:
Pa 0.333 0.667 0.000
Pa 0.667 0.333 0.000
Tl 0.000 0.000 0.500
I 0.000 0.336 0.219
I 0.000 0.664 0.781
I 0.336 0.000 0.219
I 0.336 0.336 0.781
I 0.664 0.000 0.781
I 0.664 0.664 0.219



Record 10
VASP calculation (PBE) on an optimized crystal structure of HWSe2Br.

## Properties
**Crystal system**: tetragonal
**ρ**: 5.50 g cm⁻³
**Electronic total energy**: -4.440 eV/atom
**Symmetry**: P4/mmm (123)

Cell lengths 4.878, 4.878, 5.366 Å; angles 90.00, 90.00, 90.00 degrees
Fractional positions:
H 0.000 0.000 0.000
W 0.500 0.500 0.500
Se 0.000 0.500 0.500
Se 0.500 0.000 0.500
Br 0.500 0.500 0.000



Record 11
VASP calculation (PBE) on an optimized crystal structure of Zn2SiH.

## Properties
**Crystal system**: cubic
**ρ**: 5.03 g cm⁻³
**Electronic total energy**: -2.287 eV/atom
**Symmetry**: Fm-3m (225)

Cell lengths 4.211, 4.211, 4.211 Å; angles 60.00, 60.00, 60.00 degrees
Fractional positions:
Zn 0.250 0.250 0.250
Zn 0.750 0.750 0.750
Si 0.000 0.000 0.000
H 0.500 0.500 0.500



Record 12
VASP calculation (PBE) on an optimized crystal structure of NbCoTc2.

## Properties
**Crystal system**: tetragonal
**ρ**: 9.31 g cm⁻³
**Energy of formation**: 0.519 eV/atom
**Symmetry**: I-42d (122)

Cell lengths 10.001, 10.001, 10.001 Å; angles 159.37, 159.37, 29.33 degrees
Fractional positions:
Nb 0.000 0.000 0.000
Nb 0.750 0.250 0.500
Co 0.250 0.750 0.500
Co 0.500 0.500 0.000
Tc 0.142 0.625 0.017
Tc 0.375 0.392 0.517
Tc 0.608 0.125 0.983
Tc 0.875 0.858 0.483